No. 1
A geometry-optimized SrH4I3 structure, computed with PBE.

Total DFT energy (no corrections) = -3.016 eV/atom
V = 28.0 Å³/atom
SG = No. 12

Cell lengths 8.862, 8.862, 5.907 Å; angles 93.33, 93.33, 28.93 degrees
Atoms (fractional coordinates):
Sr (0.000, 0.000, 0.000)
H (0.181, 0.181, 0.503)
H (0.199, 0.199, 0.390)
H (0.801, 0.801, 0.610)
H (0.819, 0.819, 0.497)
I (0.361, 0.361, 0.057)
I (0.500, 0.500, 0.500)
I (0.639, 0.639, 0.943)



No. 2
A geometry-optimized SrH2I structure, computed with PBE.

Total DFT energy (no corrections) = -2.664 eV/atom
V = 19.1 Å³/atom
SG = No. 225

Cell lengths 4.767, 4.767, 4.767 Å; angles 60.00, 60.00, 60.00 degrees
Atoms (fractional coordinates):
Sr (0.000, 0.000, 0.000)
H (0.250, 0.250, 0.250)
H (0.750, 0.750, 0.750)
I (0.500, 0.500, 0.500)



No. 3
A geometry-optimized SrH4I structure, computed with PBE.

Total DFT energy (no corrections) = -3.285 eV/atom
V = 18.6 Å³/atom
SG = No. 2

Cell lengths 4.651, 6.550, 8.267 Å; angles 104.62, 102.56, 105.97 degrees
Atoms (fractional coordinates):
Sr (0.119, 0.385, 0.281)
Sr (0.881, 0.615, 0.719)
H (0.028, 0.820, 0.503)
H (0.169, 0.903, 0.580)
H (0.306, 0.527, 0.609)
H (0.466, 0.439, 0.970)
H (0.534, 0.561, 0.030)
H (0.694, 0.473, 0.391)
H (0.831, 0.097, 0.420)
H (0.972, 0.180, 0.497)
I (0.228, 0.869, 0.165)
I (0.772, 0.131, 0.835)



No. 4
A geometry-optimized Sr2H3I structure, computed with PBE.

Total DFT energy (no corrections) = -3.359 eV/atom
V = 19.8 Å³/atom
SG = No. 164

Cell lengths 4.230, 4.230, 7.672 Å; angles 90.00, 90.00, 120.00 degrees
Atoms (fractional coordinates):
Sr (0.333, 0.667, 0.321)
Sr (0.667, 0.333, 0.679)
H (0.000, 0.000, 0.500)
H (0.333, 0.667, 0.643)
H (0.667, 0.333, 0.357)
I (0.000, 0.000, 0.000)



No. 5
A geometry-optimized SrH8I2 structure, computed with PBE.

Total DFT energy (no corrections) = -2.916 eV/atom
V = 16.7 Å³/atom
SG = No. 2

Cell lengths 4.085, 5.420, 8.334 Å; angles 94.94, 92.83, 90.45 degrees
Atoms (fractional coordinates):
Sr (0.000, 0.000, 0.000)
H (0.107, 0.317, 0.372)
H (0.226, 0.950, 0.575)
H (0.307, 0.027, 0.646)
H (0.494, 0.168, 0.893)
H (0.506, 0.832, 0.107)
H (0.693, 0.973, 0.354)
H (0.774, 0.050, 0.425)
H (0.893, 0.683, 0.628)
I (0.284, 0.519, 0.257)
I (0.716, 0.481, 0.743)



No. 6
A geometry-optimized SrH3I structure, computed with PBE.

Total DFT energy (no corrections) = -2.387 eV/atom
V = 18.3 Å³/atom
SG = No. 221

Cell lengths 4.507, 4.507, 4.507 Å; angles 90.00, 90.00, 90.00 degrees
Atoms (fractional coordinates):
Sr (0.000, 0.000, 0.000)
H (0.000, 0.000, 0.500)
H (0.000, 0.500, 0.000)
H (0.500, 0.000, 0.000)
I (0.500, 0.500, 0.500)



No. 7
A geometry-optimized SrH2I structure, computed with PBE.

Total DFT energy (no corrections) = -2.693 eV/atom
V = 24.1 Å³/atom
SG = No. 141

Cell lengths 9.470, 9.470, 9.470 Å; angles 151.52, 151.52, 40.71 degrees
Atoms (fractional coordinates):
Sr (0.375, 0.625, 0.750)
Sr (0.625, 0.375, 0.250)
H (0.000, 0.500, 0.500)
H (0.500, 0.000, 0.000)
H (0.500, 0.500, 0.000)
H (0.500, 0.500, 0.500)
I (0.125, 0.875, 0.250)
I (0.875, 0.125, 0.750)



No. 8
A geometry-optimized SrHI structure, computed with PBE.

Total DFT energy (no corrections) = -3.315 eV/atom
V = 25.9 Å³/atom
SG = No. 187

Cell lengths 4.269, 4.269, 4.914 Å; angles 90.00, 90.00, 120.00 degrees
Atoms (fractional coordinates):
Sr (0.000, 0.000, 0.000)
H (0.667, 0.333, 0.000)
I (0.333, 0.667, 0.500)



No. 9
A geometry-optimized SrHI structure, computed with PBE.

Total DFT energy (no corrections) = -3.375 eV/atom
V = 27.8 Å³/atom
SG = No. 129

Cell lengths 4.286, 4.286, 9.080 Å; angles 90.00, 90.00, 90.00 degrees
Atoms (fractional coordinates):
Sr (0.250, 0.250, 0.145)
Sr (0.750, 0.750, 0.855)
H (0.250, 0.750, 0.000)
H (0.750, 0.250, 0.000)
I (0.250, 0.250, 0.683)
I (0.750, 0.750, 0.317)



No. 10
A geometry-optimized SrHI structure, computed with PBE.

Total DFT energy (no corrections) = -3.292 eV/atom
V = 28.9 Å³/atom
SG = No. 12

Cell lengths 6.563, 6.563, 7.049 Å; angles 109.87, 109.87, 37.77 degrees
Atoms (fractional coordinates):
Sr (0.156, 0.156, 0.261)
Sr (0.844, 0.844, 0.739)
H (0.275, 0.275, 0.612)
H (0.725, 0.725, 0.388)
I (0.410, 0.410, 0.176)
I (0.590, 0.590, 0.824)



No. 11
A geometry-optimized SrTe2HI structure, computed with PBE.

Total DFT energy (no corrections) = -2.328 eV/atom
V = 55.5 Å³/atom
SG = No. 123

Cell lengths 6.574, 6.574, 6.417 Å; angles 90.00, 90.00, 90.00 degrees
Atoms (fractional coordinates):
Sr (0.000, 0.000, 0.000)
Te (0.000, 0.500, 0.000)
Te (0.500, 0.000, 0.000)
H (0.500, 0.500, 0.500)
I (0.000, 0.000, 0.500)



No. 12
A geometry-optimized SrTeHI2 structure, computed with PBE.

Total DFT energy (no corrections) = -2.682 eV/atom
V = 29.0 Å³/atom
SG = No. 123

Cell lengths 5.927, 5.927, 4.124 Å; angles 90.00, 90.00, 90.00 degrees
Atoms (fractional coordinates):
Sr (0.000, 0.000, 0.000)
Te (0.500, 0.500, 0.000)
H (0.500, 0.500, 0.500)
I (0.000, 0.500, 0.500)
I (0.500, 0.000, 0.500)



No. 13
A geometry-optimized SrTeHI2 structure, computed with PBE.

Total DFT energy (no corrections) = -2.327 eV/atom
V = 55.5 Å³/atom
SG = No. 123

Cell lengths 6.432, 6.432, 6.707 Å; angles 90.00, 90.00, 90.00 degrees
Atoms (fractional coordinates):
Sr (0.000, 0.000, 0.000)
Te (0.000, 0.000, 0.500)
H (0.500, 0.500, 0.500)
I (0.000, 0.500, 0.000)
I (0.500, 0.000, 0.000)